(1)
Compound: Cs3K12Au5
Source: Alexandria via LeMat-Bulk
Functional: PBE
Structure: optimized geometry

## Properties
calculated volume	68.06	Å³/atom
DFT total energy	-1.65	eV per atom

```
data_Cs3K12Au5
_chemical_formula_sum 'Cs24 K96 Au40'
_space_group_name_H-M_alt 'I a -3 d'
_space_group_IT_number 230
_space_group_name_Hall '-I 4bd 2c 3'
_cell_length_a 22.165
_cell_length_b 22.165
_cell_length_c 22.165
_cell_angle_alpha 90.00
_cell_angle_beta 90.00
_cell_angle_gamma 90.00
loop_
_atom_site_label
_atom_site_type_symbol
_atom_site_fract_x
_atom_site_fract_y
_atom_site_fract_z
Cs1 Cs 0.000 0.250 0.125
K1 K 0.046 0.133 0.946
Au1 Au 0.000 0.000 0.000
Au2 Au 0.000 0.250 0.375
```



(2)
Compound: KCeAsO6
Source: Alexandria via LeMat-Bulk
Functional: PBE
Structure: optimized geometry

## Properties
formation energy without anion corrections	-156.39	kJ/mol of atoms
calculated volume	17.44	Å³/atom

```
data_KCeAsO6
_chemical_formula_sum 'K1 Ce1 As1 O6'
_space_group_name_H-M_alt 'P 3 1 2'
_space_group_IT_number 149
_cell_length_a 5.5583
_cell_length_b 5.5583
_cell_length_c 5.8669
_cell_angle_alpha 90.00
_cell_angle_beta 90.00
_cell_angle_gamma 120.00
loop_
_space_group_symop_operation_xyz
'x,y,z'
'-y,x-y,z'
'-x+y,-x,z'
'-y,-x,-z'
'-x+y,y,-z'
'x,x-y,-z'
loop_
_atom_site_label
_atom_site_type_symbol
_atom_site_fract_x
_atom_site_fract_y
_atom_site_fract_z
K1 K 0.0000 0.0000 0.0000
Ce1 Ce 0.3333 0.6667 0.5000
As1 As 0.6667 0.3333 0.5000
O1 O 0.4013 0.0533 0.6814
```



(3)
Compound: Sr2OsBr
Source: Alexandria via LeMat-Bulk
Functional: PBE
Structure: optimized geometry

## Properties
formation energy without anion corrections	-24.79	kJ/mol of atoms
calculated volume	26.93	Å³/atom
offset from the most stable computed form	0	meV per atom

```
data_Sr2OsBr
_chemical_formula_sum 'Sr2 Os1 Br1'
_space_group_name_H-M_alt 'P 1 2/m 1'
_space_group_IT_number 10
_cell_length_a 3.589
_cell_length_b 3.611
_cell_length_c 8.312
_cell_angle_alpha 90.00
_cell_angle_beta 90.09
_cell_angle_gamma 90.00
loop_
_space_group_symop_operation_xyz
'x,y,z'
'-x,-y,-z'
'-x,y,-z'
'x,-y,z'
loop_
_atom_site_label
_atom_site_type_symbol
_atom_site_fract_x
_atom_site_fract_y
_atom_site_fract_z
Sr1 Sr 0.001 0.000 0.221
Os1 Os 0.500 0.500 0.000
Br1 Br 0.500 0.500 0.500
```



(4)
Compound: Pr2Dy4HoTm2
Source: Alexandria via LeMat-Bulk
Functional: PBE
Structure: optimized geometry

## Properties
calculated volume	32.32	Å³/atom
DFT total energy	-4.52	eV per atom

```
data_Pr2Dy4HoTm2
_chemical_formula_sum 'Pr2 Dy4 Ho1 Tm2'
_space_group_name_H-M_alt 'P -1'
_space_group_IT_number 2
_cell_length_a 5.996
_cell_length_b 6.602
_cell_length_c 8.569
_cell_angle_alpha 79.94
_cell_angle_beta 70.54
_cell_angle_gamma 65.56
loop_
_space_group_symop_operation_xyz
'x,y,z'
'-x,-y,-z'
loop_
_atom_site_label
_atom_site_type_symbol
_atom_site_fract_x
_atom_site_fract_y
_atom_site_fract_z
Pr1 Pr 0.230 0.324 0.342
Dy1 Dy 0.114 0.125 0.764
Dy2 Dy 0.243 0.573 0.885
Ho1 Ho 0.500 0.000 0.000
Tm1 Tm 0.324 0.769 0.445
```



(5)
Compound: Pu3Sb2N
Source: Alexandria via LeMat-Bulk
Functional: PBE
Structure: optimized geometry

## Properties
formation energy without anion corrections	-66.86	kJ/mol of atoms
calculated volume	26.64	Å³/atom

```
data_Pu3Sb2N
_chemical_formula_sum 'Pu6 Sb4 N2'
_space_group_name_H-M_alt 'I m m m'
_space_group_IT_number 71
_space_group_name_Hall '-I 2 2'
_cell_length_a 4.357
_cell_length_b 4.624
_cell_length_c 15.869
_cell_angle_alpha 90.00
_cell_angle_beta 90.00
_cell_angle_gamma 90.00
loop_
_atom_site_label
_atom_site_type_symbol
_atom_site_fract_x
_atom_site_fract_y
_atom_site_fract_z
Pu1 Pu 0.000 0.000 0.000
Pu2 Pu 0.000 0.500 0.146
Sb1 Sb 0.000 0.500 0.349
N1 N 0.000 0.500 0.000
```



(6)
Compound: Tm2Mn2Al2C
Source: Alexandria via LeMat-Bulk
Functional: PBE
Structure: optimized geometry

## Properties
calculated volume	16.28	Å³/atom
DFT total energy	-6.54	eV per atom

```
data_Tm2Mn2Al2C
_chemical_formula_sum 'Tm4 Mn4 Al4 C2'
_space_group_name_H-M_alt 'C 1 2/m 1'
_space_group_IT_number 12
_cell_length_a 10.826
_cell_length_b 3.382
_cell_length_c 6.525
_cell_angle_alpha 90.00
_cell_angle_beta 107.41
_cell_angle_gamma 90.00
loop_
_space_group_symop_operation_xyz
'x,y,z'
'-x,-y,-z'
'-x,y,-z'
'x,-y,z'
'x+1/2,y+1/2,z'
'-x+1/2,-y+1/2,-z'
'-x+1/2,y+1/2,-z'
'x+1/2,-y+1/2,z'
loop_
_atom_site_label
_atom_site_type_symbol
_atom_site_fract_x
_atom_site_fract_y
_atom_site_fract_z
Tm1 Tm 0.006 0.000 0.256
Mn1 Mn 0.184 0.500 0.061
Al1 Al 0.203 0.500 0.644
C1 C 0.000 0.500 0.000
```



(7)
Compound: PmAl4Ir
Source: Alexandria via LeMat-Bulk
Functional: PBE
Structure: optimized geometry

## Properties
calculated volume	18.79	Å³/atom
offset from the most stable computed form	0	meV per atom

```
data_PmAl4Ir
_chemical_formula_sum 'Pm2 Al8 Ir2'
_space_group_name_H-M_alt 'P m m a'
_space_group_IT_number 51
_cell_length_a 7.794
_cell_length_b 4.137
_cell_length_c 6.992
_cell_angle_alpha 90.00
_cell_angle_beta 90.00
_cell_angle_gamma 90.00
loop_
_space_group_symop_operation_xyz
'x,y,z'
'-x,-y,-z'
'-x+1/2,-y,z'
'x+1/2,y,-z'
'x+1/2,-y,-z'
'-x+1/2,y,z'
'-x,y,-z'
'x,-y,z'
loop_
_atom_site_label
_atom_site_type_symbol
_atom_site_fract_x
_atom_site_fract_y
_atom_site_fract_z
Pm1 Pm 0.250 0.000 0.125
Al1 Al 0.000 0.000 0.500
Al2 Al 0.065 0.500 0.809
Al3 Al 0.250 0.500 0.458
Ir1 Ir 0.250 0.000 0.698
```



- The lowest calculated volume belongs to which entry?
  Tm2Mn2Al2C



- Look up the calculated volume of the seventh one.
  18.79 Å³/atom